VASP calculation (PBE-GGA) on crystalline ZrTi2GaH at its relaxed geometry.

Cell and atoms, written as CIF:
```
data_ZrTi2GaH
_chemical_formula_sum 'Zr1 Ti2 Ga1 H1'
_symmetry_space_group_name_H-M 'P 4/m m m'
_symmetry_Int_Tables_number 123
_symmetry_space_group_name_Hall '-P 4 2'
_cell_length_a 3.995
_cell_length_b 3.995
_cell_length_c 4.653
_cell_angle_alpha 90.00
_cell_angle_beta 90.00
_cell_angle_gamma 90.00
loop_
_atom_site_label
_atom_site_fract_x
_atom_site_fract_y
_atom_site_fract_z
_atom_site_occupancy
Zr1 0.000 0.000 0.000 1
Ti1 0.000 0.500 0.500 1
Ga1 0.500 0.500 0.000 1
H1 0.500 0.500 0.500 1
```

Values from the calculation:
Offset from the most stable computed form (meV/atom): 151.2

VASP calculation (PBE-GGA) on crystalline CuSBrF2 at its relaxed geometry.

Cell and atoms, written as CIF:
```
data_CuSBrF2
_chemical_formula_sum 'Cu1 S1 Br1 F2'
_symmetry_space_group_name_H-M 'P 4/m m m'
_symmetry_Int_Tables_number 123
_symmetry_space_group_name_Hall '-P 4 2'
_cell_length_a 3.884
_cell_length_b 3.884
_cell_length_c 5.194
_cell_angle_alpha 90.00
_cell_angle_beta 90.00
_cell_angle_gamma 90.00
loop_
_atom_site_label
_atom_site_fract_x
_atom_site_fract_y
_atom_site_fract_z
_atom_site_occupancy
Cu1 0.000 0.000 0.000 1
S1 0.000 0.000 0.500 1
Br1 0.500 0.500 0.000 1
F1 0.000 0.500 0.500 1
```

VASP calculation (PBE-GGA) on crystalline Sr4Br3Cl4 at its relaxed geometry.

Cell and atoms, written as CIF:
```
data_Sr4Br3Cl4
_chemical_formula_sum 'Sr8 Br6 Cl8'
_symmetry_space_group_name_H-M 'I m m m'
_symmetry_Int_Tables_number 71
_symmetry_space_group_name_Hall '-I 2 2'
_cell_length_a 4.272
_cell_length_b 9.042
_cell_length_c 16.655
_cell_angle_alpha 90.00
_cell_angle_beta 90.00
_cell_angle_gamma 90.00
loop_
_atom_site_label
_atom_site_fract_x
_atom_site_fract_y
_atom_site_fract_z
_atom_site_occupancy
Sr1 0.000 0.000 0.247 1
Sr2 0.000 0.237 0.500 1
Br1 0.000 0.000 0.000 1
Br2 0.000 0.500 0.104 1
Cl1 0.000 0.310 0.327 1
```

VASP calculation (PBE-GGA) on crystalline Dy5BiTe4 at its relaxed geometry.

Cell and atoms, written as CIF:
```
data_Dy5BiTe4
_chemical_formula_sum 'Dy10 Bi2 Te8'
_symmetry_space_group_name_H-M 'I 4/m m m'
_symmetry_Int_Tables_number 139
_symmetry_space_group_name_Hall '-I 4 2'
_cell_length_a 4.380
_cell_length_b 4.380
_cell_length_c 30.901
_cell_angle_alpha 90.00
_cell_angle_beta 90.00
_cell_angle_gamma 90.00
loop_
_atom_site_label
_atom_site_fract_x
_atom_site_fract_y
_atom_site_fract_z
_atom_site_occupancy
Dy1 0.000 0.000 0.000 1
Dy2 0.000 0.000 0.201 1
Dy3 0.000 0.000 0.399 1
Bi1 0.000 0.000 0.500 1
Te1 0.000 0.000 0.101 1
Te2 0.000 0.000 0.300 1
```

Values from the calculation:
Offset from the most stable computed form (meV/atom): 2.2

VASP calculation (PBE-GGA) on crystalline NdUCo at its relaxed geometry.

Cell and atoms, written as CIF:
```
data_NdUCo
_chemical_formula_sum 'Nd2 U2 Co2'
_symmetry_space_group_name_H-M 'P m m a'
_symmetry_Int_Tables_number 51
_cell_length_a 7.305
_cell_length_b 5.802
_cell_length_c 3.450
_cell_angle_alpha 90.00
_cell_angle_beta 90.00
_cell_angle_gamma 90.00
loop_
_symmetry_equiv_pos_as_xyz
'x,y,z'
'-x,-y,-z'
'-x+1/2,-y,z'
'x+1/2,y,-z'
'x+1/2,-y,-z'
'-x+1/2,y,z'
'-x,y,-z'
'x,-y,z'
loop_
_atom_site_label
_atom_site_fract_x
_atom_site_fract_y
_atom_site_fract_z
_atom_site_occupancy
Nd1 0.250 0.000 0.218 1
U1 0.000 0.500 0.500 1
Co1 0.250 0.500 0.976 1
```

Values from the calculation:
Energy of formation from the pure elements (eV per atom): 0.12

VASP calculation (PBE-GGA) on crystalline HoThTl at its relaxed geometry.

Cell and atoms, written as CIF:
```
data_HoThTl
_chemical_formula_sum 'Ho4 Th4 Tl4'
_symmetry_space_group_name_H-M 'P n m a'
_symmetry_Int_Tables_number 62
_cell_length_a 8.442
_cell_length_b 4.459
_cell_length_c 9.675
_cell_angle_alpha 90.00
_cell_angle_beta 90.00
_cell_angle_gamma 90.00
loop_
_symmetry_equiv_pos_as_xyz
'x,y,z'
'-x,-y,-z'
'-x+1/2,-y,z+1/2'
'x+1/2,y,-z+1/2'
'x+1/2,-y+1/2,-z+1/2'
'-x+1/2,y+1/2,z+1/2'
'-x,y+1/2,-z'
'x,-y+1/2,z'
loop_
_atom_site_label
_atom_site_fract_x
_atom_site_fract_y
_atom_site_fract_z
_atom_site_occupancy
Ho1 0.140 0.250 0.070 1
Th1 0.026 0.250 0.659 1
Tl1 0.232 0.750 0.862 1
```

Values from the calculation:
Energy of formation from the pure elements (eV per atom): -0.12
Offset from the most stable computed form (meV/atom): 12.7

no.,E (eV/cell)
1,-31.9
2,-15.9
3,-85.4
4,-103.0
5,-45.6
6,-58.9